# 1
Compound: Ca3Ta3MnN8
Source: Alexandria
Functional: PBE-GGA
Structure: optimized geometry

a b c (Å): 6.6522 6.6522 6.6522
angles (deg): 55.82 55.82 55.82
With the nearest neighbours (Å) after each atom.
Positions (direct):
Ca 0.0000 0.5000 0.5000  6 N 2.40-2.46
Ca 0.5000 0.0000 0.5000  6 N 2.40-2.46
Ca 0.5000 0.5000 0.0000  6 N 2.40-2.46
Ta 0.0000 0.0000 0.5000  6 N 2.12-2.16
Ta 0.0000 0.5000 0.0000  6 N 2.12-2.16
Ta 0.5000 0.0000 0.0000  6 N 2.12-2.16
Mn 0.5000 0.5000 0.5000  6 N 2.09
N 0.2365 0.7306 0.7306  1 Mn 2.09, 2 Ta 2.12
N 0.2382 0.2382 0.2382  3 Ta 2.16, 3 Ca 2.40
N 0.2694 0.2694 0.7635  1 Mn 2.09, 2 Ta 2.12
N 0.2694 0.7635 0.2694  1 Mn 2.09, 2 Ta 2.12
N 0.7306 0.2365 0.7306  1 Mn 2.09, 2 Ta 2.12
N 0.7306 0.7306 0.2365  1 Mn 2.09, 2 Ta 2.12
N 0.7618 0.7618 0.7618  3 Ta 2.16, 3 Ca 2.40
N 0.7635 0.2694 0.2694  1 Mn 2.09, 2 Ta 2.12


# 2
Compound: Ca2MnTc2N4
Source: Alexandria
Functional: PBE-GGA
Structure: optimized geometry

a b c (Å): 6.7027 6.7027 5.7697
angles (deg): 103.61 103.61 25.65
With the nearest neighbours (Å) after each atom.
Positions (direct):
Ca 0.1224 0.1224 0.0131  7 N 2.43-2.68
Ca 0.8776 0.8776 0.9869  7 N 2.43-2.68
Mn 0.0000 0.0000 0.5000  4 N 2.03
Tc 0.3308 0.3308 0.4871  4 N 2.04-2.10
Tc 0.6692 0.6692 0.5129  4 N 2.04-2.10
N 0.2475 0.2475 0.7467  3 Tc 2.05-2.10
N 0.4761 0.4761 0.7197  2 Mn 2.03, 1 Tc 2.04
N 0.5239 0.5239 0.2803  2 Mn 2.03, 1 Tc 2.04
N 0.7525 0.7525 0.2533  3 Tc 2.05-2.10


# 3
Compound: CaMnTe2N
Source: Alexandria
Functional: PBE-GGA
Structure: optimized geometry

a b c (Å): 5.8149 5.8149 4.0541
angles (deg): 90.00 90.00 90.00
With the nearest neighbours (Å) after each atom.
Positions (direct):
Ca 0.0000 0.0000 0.0000  2 N 2.03
Mn 0.5000 0.5000 0.5000  8 Te 3.54
Te 0.0000 0.5000 0.0000  2 Ca 2.91
Te 0.5000 0.0000 0.0000  2 Ca 2.91
N 0.0000 0.0000 0.5000  2 Ca 2.03


# 4
Compound: CaMnTe2N
Source: Alexandria
Functional: PBE-GGA
Structure: optimized geometry

a b c (Å): 5.5656 5.5656 3.5848
angles (deg): 90.00 90.00 90.00
With the nearest neighbours (Å) after each atom.
Positions (direct):
Ca 0.0000 0.0000 0.0000  8 Te 3.31, 2 Ca 3.58
Mn 0.5000 0.5000 0.5000  2 N 1.79
Te 0.0000 0.5000 0.5000  2 Mn 2.78
Te 0.5000 0.0000 0.5000  2 Mn 2.78
N 0.5000 0.5000 0.0000  2 Mn 1.79


# 5
Compound: CaMnTeN2
Source: Alexandria
Functional: PBE-GGA
Structure: optimized geometry

a b c (Å): 3.9704 3.9704 5.4242
angles (deg): 90.00 90.00 90.00
With the nearest neighbours (Å) after each atom.
Positions (direct):
Ca 0.0000 0.0000 0.0000  4 Te 2.81
Mn 0.5000 0.5000 0.5000  4 N 1.99
Te 0.5000 0.5000 0.0000  2 Mn 2.71, 4 Ca 2.81
N 0.0000 0.5000 0.5000  2 Mn 1.99
N 0.5000 0.0000 0.5000  2 Mn 1.99


# 6
Compound: CaMnTeN2
Source: Alexandria
Functional: PBE-GGA
Structure: optimized geometry

a b c (Å): 4.4814 4.4814 6.4304
angles (deg): 90.00 90.00 90.00
With the nearest neighbours (Å) after each atom.
Positions (direct):
Ca 0.0000 0.0000 0.0000  4 N 2.24
Mn 0.5000 0.5000 0.5000  4 Te 3.17
Te 0.0000 0.0000 0.5000  4 Mn 3.17, 2 Ca 3.22
N 0.0000 0.5000 0.0000  2 Ca 2.24
N 0.5000 0.0000 0.0000  2 Ca 2.24


# 7
Compound: Ca2ThMnN4
Source: Alexandria
Functional: PBE-GGA
Structure: optimized geometry

a b c (Å): 5.9456 5.9456 11.7587
angles (deg): 90.00 90.00 146.60
With the nearest neighbours (Å) after each atom.
Positions (direct):
Ca 0.1301 0.8699 0.5416  4 N 2.31-2.51
Ca 0.1301 0.8699 0.9584  4 N 2.31-2.51
Ca 0.8699 0.1301 0.0416  4 N 2.31-2.51
Ca 0.8699 0.1301 0.4584  4 N 2.31-2.51
Th 0.4098 0.5902 0.7500  6 N 2.60-2.61
Th 0.5902 0.4098 0.2500  6 N 2.60-2.61
Mn 0.3261 0.6739 0.2500  2 N 1.76
Mn 0.6739 0.3261 0.7500  2 N 1.76
N 0.0814 0.9186 0.7500  2 Mn 2.01
N 0.2209 0.7791 0.1407  1 Mn 1.76
N 0.2209 0.7791 0.3593  1 Mn 1.76
N 0.5000 0.5000 0.0000  4 Ca 2.31
N 0.5000 0.5000 0.5000  4 Ca 2.31
N 0.7791 0.2209 0.6407  1 Mn 1.76
N 0.7791 0.2209 0.8593  1 Mn 1.76
N 0.9186 0.0814 0.2500  2 Mn 2.01


# 8
Compound: CaThMnN3
Source: Alexandria
Functional: PBE-GGA
Structure: optimized geometry

a b c (Å): 7.1630 3.5418 7.7170
angles (deg): 90.00 94.47 90.00
With the nearest neighbours (Å) after each atom.
Positions (direct):
Ca 0.1453 0.2500 0.1558  5 N 2.46-2.62
Ca 0.8547 0.7500 0.8442  5 N 2.46-2.62
Th 0.3706 0.7500 0.8194  6 N 2.36-2.54
Th 0.6294 0.2500 0.1806  6 N 2.36-2.54
Mn 0.0730 0.2500 0.5908  4 N 1.87-1.92
Mn 0.9270 0.7500 0.4092  4 N 1.87-1.92
N 0.1236 0.2500 0.8360  1 Mn 1.90
N 0.1579 0.7500 0.5398  3 Mn 1.87-1.92
N 0.4011 0.7500 0.1267  3 Th 2.36-2.42, 2 Ca 2.57
N 0.5989 0.2500 0.8733  3 Th 2.36-2.42, 2 Ca 2.57
N 0.8421 0.2500 0.4602  3 Mn 1.87-1.92
N 0.8764 0.7500 0.1640  1 Mn 1.90


# 9
Compound: CaTh2MnN4
Source: Alexandria
Functional: PBE-GGA
Structure: optimized geometry

a b c (Å): 6.2747 6.2747 12.1597
angles (deg): 90.00 90.00 146.07
With the nearest neighbours (Å) after each atom.
Positions (direct):
Ca 0.0952 0.9048 0.7500  6 N 2.72-3.03
Ca 0.9048 0.0952 0.2500  6 N 2.72-3.03
Th 0.3694 0.6306 0.5528  6 N 2.41-2.51
Th 0.3694 0.6306 0.9472  6 N 2.41-2.51
Th 0.6306 0.3694 0.0528  6 N 2.41-2.51
Th 0.6306 0.3694 0.4472  6 N 2.41-2.51
Mn 0.1694 0.8306 0.2500  4 N 1.99-2.17
Mn 0.8306 0.1694 0.7500  4 N 1.99-2.17
N 0.0000 0.0000 0.0000  4 Th 2.49
N 0.0000 0.0000 0.5000  4 Th 2.49
N 0.2594 0.7406 0.1130  1 Mn 1.99
N 0.2594 0.7406 0.3870  1 Mn 1.99
N 0.4280 0.5720 0.7500  2 Mn 2.17
N 0.5720 0.4280 0.2500  2 Mn 2.17
N 0.7406 0.2594 0.6130  1 Mn 1.99
N 0.7406 0.2594 0.8870  1 Mn 1.99


# 10
Compound: CaTi2MnN4
Source: Alexandria
Functional: PBE-GGA
Structure: optimized geometry

a b c (Å): 5.5137 5.5137 10.6972
angles (deg): 90.00 90.00 147.57
With the nearest neighbours (Å) after each atom.
Positions (direct):
Ca 0.1084 0.8916 0.7500  6 N 2.45-2.55
Ca 0.8916 0.1084 0.2500  6 N 2.45-2.55
Ti 0.3672 0.6328 0.5393  5 N 1.96-2.19
Ti 0.3672 0.6328 0.9607  5 N 1.96-2.19
Ti 0.6328 0.3672 0.0393  5 N 1.96-2.19
Ti 0.6328 0.3672 0.4607  5 N 1.96-2.19
Mn 0.1574 0.8426 0.2500  4 N 1.79-1.85
Mn 0.8426 0.1574 0.7500  4 N 1.79-1.85
N 0.0000 0.0000 0.0000  4 Ti 2.13
N 0.0000 0.0000 0.5000  4 Ti 2.13
N 0.2611 0.7389 0.1113  1 Mn 1.85, 1 Ti 1.96
N 0.2611 0.7389 0.3887  1 Mn 1.85, 1 Ti 1.96
N 0.4288 0.5712 0.7500  2 Mn 1.79
N 0.5712 0.4288 0.2500  2 Mn 1.79
N 0.7389 0.2611 0.6113  1 Mn 1.85, 1 Ti 1.96
N 0.7389 0.2611 0.8887  1 Mn 1.85, 1 Ti 1.96


# 11
Compound: Ca2MnTlN
Source: Alexandria
Functional: PBE-GGA
Structure: optimized geometry

a b c (Å): 5.1381 5.1381 3.6890
angles (deg): 90.00 90.00 90.00
With the nearest neighbours (Å) after each atom.
Positions (direct):
Ca 0.0000 0.5000 0.0000  2 N 2.57
Ca 0.5000 0.0000 0.0000  2 N 2.57
Mn 0.0000 0.0000 0.5000  2 N 1.84
Tl 0.5000 0.5000 0.5000  8 Ca 3.16
N 0.0000 0.0000 0.0000  2 Mn 1.84


# 12
Compound: CaTm2MnN4
Source: Alexandria
Functional: PBE-GGA
Structure: optimized geometry

a b c (Å): 5.9669 5.9669 11.5160
angles (deg): 90.00 90.00 147.12
With the nearest neighbours (Å) after each atom.
Positions (direct):
Ca 0.1032 0.8968 0.7500  6 N 2.72-2.80
Ca 0.8968 0.1032 0.2500  6 N 2.72-2.80
Tm 0.3701 0.6299 0.5426  6 N 2.28-2.44
Tm 0.3701 0.6299 0.9574  6 N 2.28-2.44
Tm 0.6299 0.3701 0.0426  6 N 2.28-2.44
Tm 0.6299 0.3701 0.4574  6 N 2.28-2.44
Mn 0.1699 0.8301 0.2500  4 N 1.80-1.91
Mn 0.8301 0.1699 0.7500  4 N 1.80-1.91
N 0.0000 0.0000 0.0000  4 Tm 2.30
N 0.0000 0.0000 0.5000  4 Tm 2.30
N 0.2613 0.7387 0.1228  1 Mn 1.80
N 0.2613 0.7387 0.3772  1 Mn 1.80
N 0.4085 0.5915 0.7500  2 Mn 1.91
N 0.5915 0.4085 0.2500  2 Mn 1.91
N 0.7387 0.2613 0.6228  1 Mn 1.80
N 0.7387 0.2613 0.8772  1 Mn 1.80


Summary of energy relative to the elements, uncorrected in eV/atom
-1.037 -0.513 1.449 -0.396 0.284 1.328 -0.861 -0.993 -1.069 -1.164 -0.382 -1.166
(order as listed above)
Summary of total magnetization in Bohr magnetons per cell
2.7 2.1 0.4 1.9 0.7 9.2 4.0 3.7 9.8 0.0 0.0 5.2
(order as listed above)